The following is a DFT calculation (PBE-GGA) of a relaxed DyErSc2 crystal.

Properties
Polymorph energy (0 for the lowest one), eV/atom: 0.1950
Energy of formation, eV per atom: 0.237
DOS(E_F), states/eV per atom: 2.02
V, Å³/atom: 28.23

```
DyErSc2
1.0
3.316 0.000 0.000
1.658 2.872 0.000
1.658 0.957 11.856
Dy Sc Er
1 2 1
Direct
0.000 0.000 0.000
0.910 0.910 0.271
0.090 0.090 0.729
0.500 0.500 0.500
```